Model 1:
## YPuTc2 (PBE-GGA)

Data for an optimized crystal structure of YPuTc2.

Results
Total moment ... 2.912 μB/cell

Cell: 3.3611 3.3611 6.9807 Å, 90.00 90.00 90.00°
Sites, in units of the cell vectors:
Y (0.0000, 0.0000, 0.0000)
Pu (0.0000, 0.0000, 0.5000)
Tc (0.5000, 0.5000, 0.2853)
Tc (0.5000, 0.5000, 0.7147)

---

Model 2:
## YPuTc2 (PBE-GGA)

Data for an optimized crystal structure of YPuTc2.

Results
Total moment ... 3.130 μB/cell

Cell: 4.7958 4.7958 4.7958 Å, 60.00 60.00 60.00°
Sites, in units of the cell vectors:
Y (0.0000, 0.0000, 0.0000)
Pu (0.5000, 0.5000, 0.5000)
Tc (0.2500, 0.2500, 0.2500)
Tc (0.7500, 0.7500, 0.7500)

---

So which one is most stable? That would be model 1, about 5.3 kJ/mol of atoms below the next structure.

---

Model 1:
## PuZnTc2 (PBE-GGA)

Data for an optimized crystal structure of PuZnTc2.

Results
Total moment ... 2.063 μB/cell

Cell: 4.3242 4.3242 3.4892 Å, 90.00 90.00 90.00°
Sites, in units of the cell vectors:
Pu (0.0000, 0.0000, 0.0000)
Zn (0.5000, 0.5000, 0.0000)
Tc (0.0000, 0.5000, 0.5000)
Tc (0.5000, 0.0000, 0.5000)

---

Model 2:
## PuZnTc2 (PBE-GGA)

Data for an optimized crystal structure of PuZnTc2.

Results
Total moment ... 3.293 μB/cell

Cell: 4.5175 4.5175 4.5175 Å, 60.00 60.00 60.00°
Sites, in units of the cell vectors:
Pu (0.0000, 0.0000, 0.0000)
Zn (0.5000, 0.5000, 0.5000)
Tc (0.2500, 0.2500, 0.2500)
Tc (0.7500, 0.7500, 0.7500)

---

Model 3:
## PuZnTc2 (PBE-GGA)

Data for an optimized crystal structure of PuZnTc2.

Results
Total moment ... 2.576 μB/cell

Cell: 3.2945 3.2945 6.0436 Å, 90.00 90.00 90.00°
Sites, in units of the cell vectors:
Pu (0.0000, 0.0000, 0.0000)
Zn (0.0000, 0.0000, 0.5000)
Tc (0.5000, 0.5000, 0.2550)
Tc (0.5000, 0.5000, 0.7450)

---

So which one is most stable? That would be model 1, about 1.5 kJ/mol of atoms below the next structure.

---

Model 1:
## Pu3Te (PBE-GGA)

Data for an optimized crystal structure of Pu3Te.

Results
Total moment ... 17.623 μB/cell

Cell: 6.1692 6.1692 6.1692 Å, 143.88 64.03 129.05°
Sites, in units of the cell vectors:
Pu (0.0000, 0.0000, 0.0000)
Pu (0.4072, 0.6441, 0.7631)
Pu (0.8810, 0.6441, 0.2369)
Te (0.4910, 0.9910, 0.5000)

---

Model 2:
## Pu3Te (PBE-GGA)

Data for an optimized crystal structure of Pu3Te.

Results
Total moment ... 5.221 μB/cell

Cell: 5.7273 5.7273 5.7273 Å, 133.71 133.71 67.54°
Sites, in units of the cell vectors:
Pu (0.0000, 0.0000, 0.0000)
Pu (0.2500, 0.7500, 0.5000)
Pu (0.7500, 0.2500, 0.5000)
Te (0.5000, 0.5000, 0.0000)

---

So which one is most stable? That would be model 2, about 2.9 kJ/mol of atoms below the next structure.